--- w ---
{"formula": "Mg3SnO", "functional": "PBE", "state": "relaxed", "cell": [[4.3927, 0.0000, 0.0000], [0.0000, 4.3927, 0.0000], [0.0000, 0.0000, 4.3927]], "species": ["Mg", "Mg", "Mg", "Sn", "O"], "fractional_positions": [[0.0000, 0.0000, 0.5000], [0.0000, 0.5000, 0.0000], [0.5000, 0.0000, 0.0000], [0.5000, 0.5000, 0.5000], [0.0000, 0.0000, 0.0000]], "m_tot_mub_per_cell": 0.00}

---

--- x ---
{"formula": "Mg3SnO", "functional": "PBE", "state": "relaxed", "cell": [[5.2083, 0.0000, 0.0000], [0.0000, 5.2083, 0.0000], [0.0000, 0.0000, 5.2083]], "species": ["Mg", "Mg", "Mg", "Sn", "O"], "fractional_positions": [[0.0000, 0.0000, 0.5000], [0.0000, 0.5000, 0.0000], [0.5000, 0.0000, 0.0000], [0.0000, 0.0000, 0.0000], [0.5000, 0.5000, 0.5000]], "m_tot_mub_per_cell": 0.00}

---

Stability, lowest: x

---

--- w ---
{"formula": "MgSn2O2", "functional": "PBE", "state": "relaxed", "cell": [[6.0838, 0.0000, 0.0000], [0.0000, 6.0838, 0.0000], [0.0000, 0.0000, 4.4915]], "species": ["Mg", "Mg", "Sn", "Sn", "Sn", "Sn", "O", "O", "O", "O"], "fractional_positions": [[0.0000, 0.0000, 0.0000], [0.5000, 0.5000, 0.0000], [0.1848, 0.3152, 0.5000], [0.3152, 0.8152, 0.5000], [0.6848, 0.1848, 0.5000], [0.8152, 0.6848, 0.5000], [0.2276, 0.2724, 0.0000], [0.2724, 0.7724, 0.0000], [0.7276, 0.2276, 0.0000], [0.7724, 0.7276, 0.0000]], "m_tot_mub_per_cell": 0.00}

---

--- x ---
{"formula": "MgSn2O2", "functional": "PBE", "state": "relaxed", "cell": [[-2.5075, 2.5075, 4.0681], [2.5075, -2.5075, 4.0681], [2.5075, 2.5075, -4.0681]], "species": ["Mg", "Sn", "Sn", "O", "O"], "fractional_positions": [[0.0000, 0.0000, 0.0000], [0.2500, 0.7500, 0.5000], [0.7500, 0.2500, 0.5000], [0.2344, 0.2344, 0.0000], [0.7656, 0.7656, 0.0000]], "m_tot_mub_per_cell": 0.00}

---

Stability, lowest: x

---

--- w ---
{"formula": "MgSn2O4", "functional": "PBE", "state": "relaxed", "cell": [[-3.1708, 3.5327, 4.4740], [3.1708, -3.5327, 4.4740], [3.1708, 3.5327, -4.4740]], "species": ["Mg", "Mg", "Sn", "Sn", "Sn", "Sn", "O", "O", "O", "O", "O", "O", "O", "O"], "fractional_positions": [[0.0000, 0.0000, 0.0000], [0.5000, 0.0000, 0.5000], [0.0000, 0.0000, 0.5000], [0.0000, 0.5000, 0.0000], [0.3867, 0.6367, 0.7500], [0.6133, 0.3633, 0.2500], [0.1813, 0.2342, 0.9471], [0.2129, 0.7658, 0.4471], [0.2346, 0.2140, 0.4795], [0.2346, 0.7551, 0.0205], [0.7654, 0.2449, 0.9795], [0.7654, 0.7860, 0.5205], [0.7871, 0.2342, 0.5529], [0.8187, 0.7658, 0.0529]], "m_tot_mub_per_cell": 0.00}

---

--- x ---
{"formula": "MgSn2O4", "functional": "PBE", "state": "relaxed", "cell": [[3.1651, 0.0000, 0.0000], [0.0000, 10.8358, 0.0000], [-2.9376, 0.0000, 12.2727]], "species": ["Mg", "Mg", "Mg", "Mg", "Sn", "Sn", "Sn", "Sn", "Sn", "Sn", "Sn", "Sn", "O", "O", "O", "O", "O", "O", "O", "O", "O", "O", "O", "O", "O", "O", "O", "O"], "fractional_positions": [[0.0804, 0.1644, 0.3287], [0.0804, 0.3356, 0.8287], [0.9196, 0.6644, 0.1713], [0.9196, 0.8356, 0.6713], [0.3135, 0.6094, 0.5653], [0.3135, 0.8906, 0.0653], [0.4426, 0.6246, 0.8698], [0.4426, 0.8754, 0.3698], [0.5574, 0.1246, 0.6302], [0.5574, 0.3754, 0.1302], [0.6865, 0.1094, 0.9347], [0.6865, 0.3906, 0.4347], [0.1630, 0.5176, 0.4076], [0.1630, 0.9824, 0.9076], [0.2218, 0.2285, 0.9738], [0.2218, 0.2715, 0.4738], [0.4026, 0.5527, 0.1542], [0.4026, 0.9473, 0.6542], [0.4544, 0.7040, 0.7146], [0.4544, 0.7960, 0.2146], [0.5456, 0.2040, 0.7854], [0.5456, 0.2960, 0.2854], [0.5974, 0.0527, 0.3458], [0.5974, 0.4473, 0.8458], [0.7782, 0.7285, 0.5262], [0.7782, 0.7715, 0.0262], [0.8370, 0.0176, 0.0924], [0.8370, 0.4824, 0.5924]], "m_tot_mub_per_cell": 0.00}

---

--- y ---
{"formula": "MgSn2O4", "functional": "PBE", "state": "relaxed", "cell": [[-3.2010, 3.3248, 4.7667], [3.2010, -3.3248, 4.7667], [3.2010, 3.3248, -4.7667]], "species": ["Mg", "Mg", "Sn", "Sn", "Sn", "Sn", "O", "O", "O", "O", "O", "O", "O", "O"], "fractional_positions": [[0.3958, 0.1458, 0.2500], [0.6042, 0.8542, 0.7500], [0.0000, 0.0000, 0.5000], [0.0000, 0.5000, 0.0000], [0.0000, 0.5000, 0.5000], [0.5000, 0.5000, 0.0000], [0.2349, 0.7173, 0.5175], [0.2572, 0.2786, 0.5214], [0.2572, 0.7358, 0.9786], [0.3002, 0.2827, 0.0175], [0.6998, 0.7173, 0.9825], [0.7428, 0.2642, 0.0214], [0.7428, 0.7214, 0.4786], [0.7651, 0.2827, 0.4825]], "m_tot_mub_per_cell": 0.00}

---

--- z ---
{"formula": "MgSn2O4", "functional": "PBE", "state": "relaxed", "cell": [[3.3407, 1.9288, 5.2037], [-3.3407, 1.9288, 5.2037], [0.0000, -3.8575, 5.2037]], "species": ["Mg", "Mg", "Sn", "Sn", "Sn", "Sn", "O", "O", "O", "O", "O", "O", "O", "O"], "fractional_positions": [[0.0000, 0.0000, 0.0000], [0.3801, 0.3801, 0.3801], [0.3791, 0.3791, 0.8821], [0.3791, 0.8821, 0.3791], [0.7644, 0.7644, 0.7644], [0.8821, 0.3791, 0.3791], [0.1347, 0.1347, 0.1347], [0.1383, 0.1383, 0.6025], [0.1383, 0.6025, 0.1383], [0.1943, 0.6073, 0.6073], [0.6025, 0.1383, 0.1383], [0.6073, 0.1943, 0.6073], [0.6073, 0.6073, 0.1943], [0.6166, 0.6166, 0.6166]], "m_tot_mub_per_cell": 0.00}

---

Stability, lowest: y

---

--- w ---
{"formula": "MgSn2O4", "functional": "PBE", "state": "relaxed", "cell": [[6.5881, -1.6206, 0.0000], [6.5881, 1.6206, 0.0000], [-5.1696, 0.0000, 9.5287]], "species": ["Mg", "Mg", "Sn", "Sn", "Sn", "Sn", "O", "O", "O", "O", "O", "O", "O", "O"], "fractional_positions": [[0.2053, 0.2053, 0.2472], [0.7947, 0.7947, 0.7528], [0.1356, 0.1356, 0.8793], [0.4016, 0.4016, 0.5871], [0.5984, 0.5984, 0.4129], [0.8644, 0.8644, 0.1207], [0.0402, 0.0402, 0.2291], [0.2625, 0.2625, 0.6304], [0.3280, 0.3280, 0.9689], [0.3530, 0.3530, 0.2328], [0.6470, 0.6470, 0.7672], [0.6720, 0.6720, 0.0311], [0.7375, 0.7375, 0.3696], [0.9598, 0.9598, 0.7709]], "m_tot_mub_per_cell": 0.00}

---

--- x ---
{"formula": "MgSn2O4", "functional": "PBE", "state": "relaxed", "cell": [[1.5917, -5.3918, 0.0000], [1.5917, 5.3918, 0.0000], [0.0000, 0.0000, 10.8290]], "species": ["Mg", "Mg", "Sn", "Sn", "Sn", "Sn", "O", "O", "O", "O", "O", "O", "O", "O"], "fractional_positions": [[0.1091, 0.8909, 0.7500], [0.8909, 0.1091, 0.2500], [0.3687, 0.6313, 0.5787], [0.3687, 0.6313, 0.9213], [0.6313, 0.3687, 0.0787], [0.6313, 0.3687, 0.4213], [0.0000, 0.0000, 0.0000], [0.0000, 0.0000, 0.5000], [0.2764, 0.7236, 0.1187], [0.2764, 0.7236, 0.3813], [0.4827, 0.5173, 0.7500], [0.5173, 0.4827, 0.2500], [0.7236, 0.2764, 0.6187], [0.7236, 0.2764, 0.8813]], "m_tot_mub_per_cell": 0.00}

---

Stability, lowest: x

---

--- w ---
{"formula": "MgSnO2", "functional": "PBE", "state": "relaxed", "cell": [[3.3352, 0.0000, 0.0000], [0.3521, 8.4070, 0.0000], [0.4004, 2.8597, 9.2920]], "species": ["Mg", "Mg", "Mg", "Mg", "Sn", "Sn", "Sn", "Sn", "O", "O", "O", "O", "O", "O", "O", "O"], "fractional_positions": [[0.2097, 0.1189, 0.2892], [0.2399, 0.6632, 0.4858], [0.7601, 0.3368, 0.5142], [0.7903, 0.8811, 0.7108], [0.2445, 0.1832, 0.8120], [0.4678, 0.4449, 0.2051], [0.5322, 0.5551, 0.7949], [0.7555, 0.8168, 0.1880], [0.2305, 0.8775, 0.3103], [0.2678, 0.2787, 0.4071], [0.2700, 0.4192, 0.6407], [0.2809, 0.7838, 0.8109], [0.7191, 0.2162, 0.1891], [0.7300, 0.5808, 0.3593], [0.7322, 0.7213, 0.5929], [0.7695, 0.1225, 0.6897]], "m_tot_mub_per_cell": 0.00}

---

--- x ---
{"formula": "MgSnO2", "functional": "PBE", "state": "relaxed", "cell": [[3.1962, 0.0000, 0.0000], [-0.3008, 8.7791, 0.0000], [-1.2838, -0.5041, 8.9075]], "species": ["Mg", "Mg", "Mg", "Mg", "Sn", "Sn", "Sn", "Sn", "O", "O", "O", "O", "O", "O", "O", "O"], "fractional_positions": [[0.0507, 0.2424, 0.0474], [0.4370, 0.4196, 0.7594], [0.5630, 0.5804, 0.2406], [0.9493, 0.7576, 0.9526], [0.0038, 0.3217, 0.3981], [0.4127, 0.0525, 0.7336], [0.5873, 0.9475, 0.2664], [0.9962, 0.6783, 0.6019], [0.0542, 0.0503, 0.1575], [0.1205, 0.5672, 0.3756], [0.4005, 0.6418, 0.8157], [0.4909, 0.2489, 0.8930], [0.5091, 0.7511, 0.1070], [0.5995, 0.3582, 0.1843], [0.8795, 0.4328, 0.6244], [0.9458, 0.9497, 0.8425]], "m_tot_mub_per_cell": 0.00}

---

Stability, lowest: w

---

--- w ---
{"formula": "MgSnO2", "functional": "PBE", "state": "relaxed", "cell": [[-2.5640, 2.5640, 4.8601], [2.5640, -2.5640, 4.8601], [2.5640, 2.5640, -4.8601]], "species": ["Mg", "Mg", "Sn", "Sn", "O", "O", "O", "O"], "fractional_positions": [[0.0000, 0.0000, 0.0000], [0.7500, 0.2500, 0.5000], [0.2500, 0.7500, 0.5000], [0.5000, 0.5000, 0.0000], [0.0649, 0.6250, 0.9399], [0.3750, 0.3149, 0.4399], [0.6851, 0.1250, 0.0601], [0.8750, 0.9351, 0.5601]], "m_tot_mub_per_cell": 0.00}

---

--- x ---
{"formula": "MgSnO2", "functional": "PBE", "state": "relaxed", "cell": [[8.1596, -1.6972, 0.0000], [8.1596, 1.6972, 0.0000], [-0.9568, 0.0000, 10.0300]], "species": ["Mg", "Mg", "Mg", "Mg", "Sn", "Sn", "Sn", "Sn", "O", "O", "O", "O", "O", "O", "O", "O"], "fractional_positions": [[0.1680, 0.1680, 0.2203], [0.3113, 0.3113, 0.0653], [0.6887, 0.6887, 0.9347], [0.8320, 0.8320, 0.7797], [0.1591, 0.1591, 0.6004], [0.4920, 0.4920, 0.2027], [0.5080, 0.5080, 0.7973], [0.8409, 0.8409, 0.3996], [0.0440, 0.0440, 0.6780], [0.1827, 0.1827, 0.0280], [0.2959, 0.2959, 0.2680], [0.3849, 0.3849, 0.7333], [0.6151, 0.6151, 0.2667], [0.7041, 0.7041, 0.7320], [0.8173, 0.8173, 0.9720], [0.9560, 0.9560, 0.3220]], "m_tot_mub_per_cell": 0.00}

---

Stability, lowest: w

---

--- w ---
{"formula": "MgSnO2", "functional": "PBE", "state": "relaxed", "cell": [[1.5615, 0.9015, 6.1756], [-1.5615, 0.9015, 6.1756], [0.0000, -1.8030, 6.1756]], "species": ["Mg", "Sn", "O", "O"], "fractional_positions": [[0.0000, 0.0000, 0.0000], [0.5000, 0.5000, 0.5000], [0.3909, 0.3909, 0.3909], [0.6091, 0.6091, 0.6091]], "m_tot_mub_per_cell": 0.00}

---

--- x ---
{"formula": "MgSnO2", "functional": "PBE", "state": "relaxed", "cell": [[3.4045, 0.0000, 0.0000], [0.2109, 8.3804, 0.0000], [1.5560, 2.1251, 8.7068]], "species": ["Mg", "Mg", "Mg", "Mg", "Sn", "Sn", "Sn", "Sn", "O", "O", "O", "O", "O", "O", "O", "O"], "fractional_positions": [[0.0000, 0.0000, 0.0000], [0.0853, 0.6306, 0.8792], [0.4348, 0.6284, 0.1827], [0.6090, 0.3441, 0.9068], [0.1102, 0.4141, 0.5512], [0.3540, 0.1828, 0.2717], [0.6283, 0.0184, 0.6931], [0.7972, 0.8293, 0.3937], [0.0905, 0.8744, 0.8003], [0.1624, 0.4369, 0.7789], [0.2781, 0.6633, 0.4383], [0.4387, 0.4020, 0.3215], [0.5399, 0.5627, 0.9841], [0.5420, 0.0992, 0.8987], [0.9052, 0.2049, 0.1099], [0.9258, 0.7830, 0.1674]], "m_tot_mub_per_cell": 0.00}

---

Stability, lowest: w

---

--- w ---
{"formula": "MgSn2O", "functional": "PBE", "state": "relaxed", "cell": [[0.0000, 3.4230, 3.4230], [3.4230, 0.0000, 3.4230], [3.4230, 3.4230, 0.0000]], "species": ["Mg", "Sn", "Sn", "O"], "fractional_positions": [[0.0000, 0.0000, 0.0000], [0.2500, 0.2500, 0.2500], [0.7500, 0.7500, 0.7500], [0.5000, 0.5000, 0.5000]], "m_tot_mub_per_cell": 0.00}

---

--- x ---
{"formula": "MgSn2O", "functional": "PBE", "state": "relaxed", "cell": [[-2.6859, 2.6859, 6.8257], [2.6859, -2.6859, 6.8257], [2.6859, 2.6859, -6.8257]], "species": ["Mg", "Mg", "Sn", "Sn", "Sn", "Sn", "O", "O"], "fractional_positions": [[0.0000, 0.0000, 0.0000], [0.7500, 0.2500, 0.5000], [0.2358, 0.6250, 0.1108], [0.3750, 0.4858, 0.6108], [0.5142, 0.1250, 0.8892], [0.8750, 0.7642, 0.3892], [0.2500, 0.7500, 0.5000], [0.5000, 0.5000, 0.0000]], "m_tot_mub_per_cell": 0.00}

---

Stability, lowest: w